! DyGePbS3 (PBE, relaxed); values from VASP
! mass density: 6.183 g/cm3
! final energy: -60.14 eV/cell
&SYSTEM
  ibrav = 0, nat = 12, ntyp = 4
/
ATOMIC_SPECIES
S 32.06 S.upf
Dy 162.50 Dy.upf
Ge 72.64 Ge.upf
Pb 207.20 Pb.upf
ATOMIC_POSITIONS crystal
S 0.864 0.136 0.031
S 0.592 0.408 0.250
S 0.864 0.136 0.469
S 0.136 0.864 0.969
S 0.136 0.864 0.531
S 0.408 0.592 0.750
Dy 0.500 0.500 0.000
Dy 0.500 0.500 0.500
Ge 0.939 0.061 0.250
Ge 0.061 0.939 0.750
Pb 0.229 0.771 0.250
Pb 0.771 0.229 0.750
CELL_PARAMETERS angstrom
2.029 -7.034 0.000
2.029 7.034 0.000
0.000 0.000 10.135